Compound: K2NaC2O6
Source: Alexandria
Functional: PBE
Structure: relaxed Values from VASP.

## Properties
ρ, g cm⁻³: 2.3
Uncorrected formation energy, eV per atom: -1.629
Space group: C2/m
D(E_F), states/eV per cell: 5.53

```
&SYSTEM
  ibrav = 0, nat = 11, ntyp = 4
/
ATOMIC_SPECIES
Na 22.99 Na.upf
O 16.00 O.upf
C 12.01 C.upf
K 39.10 K.upf
ATOMIC_POSITIONS crystal
Na 0.5000 0.0000 0.5000
O 0.7900 0.5800 0.6873
O 0.2100 0.4200 0.3127
O 0.2128 0.0172 0.7614
O 0.1956 0.9828 0.2386
O 0.8044 0.0172 0.7614
O 0.7872 0.9828 0.2386
C 0.0650 0.1299 0.2637
C 0.9350 0.8701 0.7363
K 0.2962 0.5924 0.8346
K 0.7038 0.4076 0.1654
CELL_PARAMETERS angstrom
5.4801 0.0000 0.0000
-2.7401 4.8835 -0.2256
0.0000 -3.0696 6.1839
```